Below is a relaxed CuC4 crystal, with properties calculated at the PBE level.

Cell: 3.911 3.911 3.911 Å, 109.47 109.47 109.47°
Element x y z (fractional)
Cu 0.000 0.000 0.000
C 0.000 0.000 0.500
C 0.000 0.500 0.000
C 0.500 0.000 0.000
C 0.500 0.500 0.500

Output
Its crystal system is cubic. Its total energy is -4.72 eV/atom. Its excess energy over the best structure of this formula in the dataset is 2199.5 meV per atom. Its energy of formation from the pure elements is 3.481 eV per atom.